Entry 1:
DFT (PBE) results for crystalline PrGa4Pd4 at its relaxed geometry.

Cell lengths 6.1607, 6.1607, 8.6058 Å; angles 90.00, 90.00, 90.00 degrees
Last column: nearest neighbours and their distance in Å.
Fractional coordinates of all 18 atoms:
Pr (0.2500, 0.7500, 0.2500)  12 Ga 3.29-3.68, 8 Pd 3.53
Pr (0.7500, 0.2500, 0.7500)  12 Ga 3.29-3.68, 8 Pd 3.53
Ga (0.0426, 0.2500, 0.0694)  5 Pd 2.52-2.60, 1 Ga 2.56
Ga (0.2500, 0.0426, 0.5694)  5 Pd 2.52-2.60, 1 Ga 2.56
Ga (0.2500, 0.4574, 0.5694)  5 Pd 2.52-2.60, 1 Ga 2.56
Ga (0.4574, 0.2500, 0.0694)  5 Pd 2.52-2.60, 1 Ga 2.56
Ga (0.5426, 0.7500, 0.9306)  5 Pd 2.52-2.60, 1 Ga 2.56
Ga (0.7500, 0.5426, 0.4306)  5 Pd 2.52-2.60, 1 Ga 2.56
Ga (0.7500, 0.9574, 0.4306)  5 Pd 2.52-2.60, 1 Ga 2.56
Ga (0.9574, 0.7500, 0.9306)  5 Pd 2.52-2.60, 1 Ga 2.56
Pd (0.0197, 0.2500, 0.3651)  5 Ga 2.52-2.60
Pd (0.2500, 0.0197, 0.8651)  5 Ga 2.52-2.60
Pd (0.2500, 0.4803, 0.8651)  5 Ga 2.52-2.60
Pd (0.4803, 0.2500, 0.3651)  5 Ga 2.52-2.60
Pd (0.5197, 0.7500, 0.6349)  5 Ga 2.52-2.60
Pd (0.7500, 0.5197, 0.1349)  5 Ga 2.52-2.60
Pd (0.7500, 0.9803, 0.1349)  5 Ga 2.52-2.60
Pd (0.9803, 0.7500, 0.6349)  5 Ga 2.52-2.60

## Properties
- Formation energy: -582 kJ/mol of formula units



Entry 2:
DFT (PBE) results for crystalline RbSnHg3 at its relaxed geometry.

Cell lengths 6.8014, 6.8014, 6.8014 Å; angles 132.68, 132.68, 69.16 degrees
Last column: nearest neighbours and their distance in Å.
Fractional coordinates of all 5 atoms:
Rb (0.0000, 0.0000, 0.0000)  13 Hg 3.84-4.23, 5 Sn 4.03-4.17
Sn (0.6405, 0.6405, 0.0000)  5 Hg 2.95
Hg (0.2416, 0.7416, 0.5000)  2 Sn 2.95, 2 Hg 3.12
Hg (0.3773, 0.3773, 0.0000)  1 Sn 2.95, 4 Hg 3.12
Hg (0.7416, 0.2416, 0.5000)  2 Sn 2.95, 2 Hg 3.12

## Properties
- Formation energy: -79 kJ/mol of formula units
- ΔE to the lowest computed polymorph: 0 meV per atom



Entry 3:
DFT (PBE) results for crystalline GaFeSi2 at its relaxed geometry.

Cell lengths 6.2971, 6.2971, 6.2971 Å; angles 126.29, 126.29, 79.41 degrees
Last column: nearest neighbours and their distance in Å.
Fractional coordinates of all 8 atoms:
Ga (0.0000, 0.0000, 0.0000)  4 Si 2.52
Ga (0.7500, 0.2500, 0.5000)  4 Si 2.52
Fe (0.2500, 0.7500, 0.5000)  4 Si 2.20
Fe (0.5000, 0.5000, 0.0000)  4 Si 2.20
Si (0.1714, 0.6250, 0.0464)  2 Fe 2.20
Si (0.3750, 0.4214, 0.5464)  2 Fe 2.20
Si (0.5786, 0.1250, 0.9536)  2 Fe 2.20
Si (0.8750, 0.8286, 0.4536)  2 Fe 2.20

## Properties
- Formation energy without anion corrections: 0.51 eV/atom



Entry 4:
DFT (PBE) results for crystalline Pr3GaAu at its relaxed geometry.

Cell lengths 8.3853, 8.3853, 8.7054 Å; angles 93.54, 93.54, 28.09 degrees
Last column: nearest neighbours and their distance in Å.
Fractional coordinates of all 10 atoms:
Pr (0.0516, 0.0516, 0.1987)  4 Au 3.13-3.33, 1 Ga 3.19
Pr (0.2346, 0.2346, 0.8190)  3 Ga 3.13-3.39, 3 Au 3.27-3.34
Pr (0.4039, 0.4039, 0.4244)  3 Ga 3.10-3.12, 1 Au 3.20, 1 Pr 3.31
Pr (0.5961, 0.5961, 0.5756)  3 Ga 3.10-3.12, 1 Au 3.20, 1 Pr 3.31
Pr (0.7654, 0.7654, 0.1810)  3 Ga 3.13-3.39, 3 Au 3.27-3.34
Pr (0.9484, 0.9484, 0.8013)  4 Au 3.13-3.33, 1 Ga 3.19
Ga (0.2120, 0.2120, 0.4288)  2 Ga 2.65
Ga (0.7880, 0.7880, 0.5712)  2 Ga 2.65
Au (0.4040, 0.4040, 0.0564)  8 Pr 3.13-3.34, 1 Au 3.33
Au (0.5960, 0.5960, 0.9436)  8 Pr 3.13-3.34, 1 Au 3.33

## Properties
- Formation energy: -243 kJ/mol of formula units



Entry 5:
DFT (PBE) results for crystalline CaSbPb2 at its relaxed geometry.

Cell lengths 4.7587, 4.7786, 5.2081 Å; angles 90.00, 90.00, 90.00 degrees
Last column: nearest neighbours and their distance in Å.
Fractional coordinates of all 4 atoms:
Ca (0.0000, 0.0000, 0.0000)  4 Sb 3.37, 8 Pb 3.53
Sb (0.5000, 0.5000, 0.0000)  4 Ca 3.37, 8 Pb 3.53
Pb (0.0000, 0.5000, 0.5000)  4 Pb 3.37, 4 Sb 3.53, 4 Ca 3.53
Pb (0.5000, 0.0000, 0.5000)  4 Pb 3.37, 4 Ca 3.53, 4 Sb 3.53

## Properties
- Formation energy without anion corrections: -0.37 eV/atom



Entry 6:
DFT (PBE) results for crystalline CsVIr2 at its relaxed geometry.

Cell lengths 4.7707, 4.7707, 4.7707 Å; angles 60.00, 60.00, 60.00 degrees
Last column: nearest neighbours and their distance in Å.
Fractional coordinates of all 4 atoms:
Cs (0.0000, 0.0000, 0.0000)  8 Ir 2.92
V (0.5000, 0.5000, 0.5000)  8 Ir 2.92
Ir (0.2500, 0.2500, 0.2500)  4 V 2.92, 4 Cs 2.92
Ir (0.7500, 0.7500, 0.7500)  4 V 2.92, 4 Cs 2.92

## Properties
- Formation energy: 568 kJ/mol of formula units
- ΔE to the lowest computed polymorph: 586 meV per atom



Entry 7:
DFT (PBE) results for crystalline PaAl2Hg at its relaxed geometry.

Cell lengths 4.9284, 4.9284, 4.9284 Å; angles 60.09, 60.09, 60.09 degrees
Last column: nearest neighbours and their distance in Å.
Fractional coordinates of all 4 atoms:
Pa (0.0000, 0.0000, 0.0000)  8 Al 3.02
Al (0.2502, 0.2502, 0.2502)  4 Hg 3.01-3.02, 4 Pa 3.02
Al (0.7498, 0.7498, 0.7498)  4 Hg 3.01-3.02, 4 Pa 3.02
Hg (0.5000, 0.5000, 0.5000)  8 Al 3.01-3.02

## Properties
- Formation energy: 61 kJ/mol of formula units
- ΔE to the lowest computed polymorph: 245 meV per atom



Entry 8:
DFT (PBE) results for crystalline Dy2S2Cl at its relaxed geometry.

Cell lengths 8.6197, 8.6197, 3.8919 Å; angles 102.92, 102.92, 26.00 degrees
Last column: nearest neighbours and their distance in Å.
Fractional coordinates of all 5 atoms:
Dy (0.1617, 0.1617, 0.1625)  1 Cl 2.64, 5 S 2.75-2.80
Dy (0.8383, 0.8383, 0.8375)  1 Cl 2.64, 5 S 2.75-2.80
S (0.3330, 0.3330, 0.3322)  5 Dy 2.75-2.80
S (0.6670, 0.6670, 0.6678)  5 Dy 2.75-2.80
Cl (0.0000, 0.0000, 0.0000)  2 Dy 2.64

## Properties
- Formation energy without anion corrections: -2.09 eV/atom
- ΔE to the lowest computed polymorph: 0 meV per atom



no.,VASP energy (eV per atom),calculated density (Mg/m³),magnetization (μB/cell)
1,-4.8547,8.597,0.00
2,-1.3389,8.020,0.00
3,-5.0730,3.849,0.00
4,-4.6316,7.961,0.00
5,-3.7561,8.079,0.00
6,-5.4517,12.291,1.69
7,-4.1635,9.507,0.65
8,-5.9559,5.714,0.00